First-principles (PBE) data for Be2CoPt after structural relaxation, as listed in Alexandria.

The structure in CIF format:
```
data_Be2CoPt
_chemical_formula_sum 'Be4 Co2 Pt2'
_symmetry_space_group_name_H-M 'P 1'
_symmetry_Int_Tables_number 1
_cell_length_a 7.2882
_cell_length_b 2.6703
_cell_length_c 4.5243
_cell_angle_alpha 90.00
_cell_angle_beta 102.35
_cell_angle_gamma 90.00
loop_
_symmetry_equiv_pos_as_xyz
'x,y,z'
loop_
_atom_site_label
_atom_site_type_symbol
_atom_site_fract_x
_atom_site_fract_y
_atom_site_fract_z
Be1 Be 0.2463 0.0000 0.2210
Be2 Be 0.2537 0.5000 0.7790
Be3 Be 0.7463 0.5000 0.2210
Be4 Be 0.7537 0.0000 0.7790
Co1 Co 0.0000 0.5000 0.0000
Co2 Co 0.5000 0.0000 0.0000
Pt1 Pt 0.0000 0.0000 0.5000
Pt2 Pt 0.5000 0.5000 0.5000
```

Calculated values
- DFT total energy (eV/atom) = -5.433
- E_form (eV per atom) = -0.283
- energy above the lowest structure with this stoichiometry (kJ/mol of formula units) = 121.7
- symmetry = C2/m

***

First-principles (PBE) data for IrOsRh after structural relaxation, as listed in Alexandria.

The structure in CIF format:
```
data_IrOsRh
_chemical_formula_sum 'Ir2 Os2 Rh2'
_symmetry_space_group_name_H-M 'P 1'
_symmetry_Int_Tables_number 1
_cell_length_a 2.7316
_cell_length_b 2.7316
_cell_length_c 13.3516
_cell_angle_alpha 90.00
_cell_angle_beta 90.00
_cell_angle_gamma 120.00
loop_
_symmetry_equiv_pos_as_xyz
'x,y,z'
loop_
_atom_site_label
_atom_site_type_symbol
_atom_site_fract_x
_atom_site_fract_y
_atom_site_fract_z
Ir1 Ir 0.0000 0.0000 0.0000
Ir2 Ir 0.3333 0.6667 0.5060
Os1 Os 0.0000 0.0000 0.6740
Os2 Os 0.6667 0.3333 0.8355
Rh1 Rh 0.3333 0.6667 0.1691
Rh2 Rh 0.6667 0.3333 0.3368
```

Calculated values
- DFT total energy (eV/atom) = -9.133
- E_form (eV per atom) = 0.015
- energy above the lowest structure with this stoichiometry (kJ/mol of formula units) = 4.6
- symmetry = P3m1

***

First-principles (PBE) data for Re2OsBr after structural relaxation, as listed in Alexandria.

The structure in CIF format:
```
data_Re2OsBr
_chemical_formula_sum 'Re2 Os1 Br1'
_symmetry_space_group_name_H-M 'P 1'
_symmetry_Int_Tables_number 1
_cell_length_a 2.8391
_cell_length_b 3.5225
_cell_length_c 6.7770
_cell_angle_alpha 90.00
_cell_angle_beta 90.00
_cell_angle_gamma 90.00
loop_
_symmetry_equiv_pos_as_xyz
'x,y,z'
loop_
_atom_site_label
_atom_site_type_symbol
_atom_site_fract_x
_atom_site_fract_y
_atom_site_fract_z
Re1 Re 0.0000 0.0000 0.2049
Re2 Re 0.0000 0.0000 0.7951
Os1 Os 0.5000 0.5000 0.0000
Br1 Br 0.5000 0.5000 0.5000
```

Calculated values
- DFT total energy (eV/atom) = -8.458
- energy above the lowest structure with this stoichiometry (kJ/mol of formula units) = 110.4
- symmetry = Pmmm
- energy relative to the elements, uncorrected (kcal/mol of atoms) = 22.87

***

First-principles (PBE) data for Pr3NdHo6Er2 after structural relaxation, as listed in Alexandria.

The structure in CIF format:
```
data_Pr3NdHo6Er2
_chemical_formula_sum 'Pr3 Nd1 Ho6 Er2'
_symmetry_space_group_name_H-M 'P 1'
_symmetry_Int_Tables_number 1
_cell_length_a 6.2106
_cell_length_b 6.2106
_cell_length_c 11.8240
_cell_angle_alpha 95.01
_cell_angle_beta 95.01
_cell_angle_gamma 119.98
loop_
_symmetry_equiv_pos_as_xyz
'x,y,z'
loop_
_atom_site_label
_atom_site_type_symbol
_atom_site_fract_x
_atom_site_fract_y
_atom_site_fract_z
Pr1 Pr 0.0000 0.0000 0.0000
Pr2 Pr 0.3332 0.6668 0.0000
Pr3 Pr 0.6668 0.3332 0.0000
Nd1 Nd 0.5000 0.5000 0.5000
Ho1 Ho 0.0834 0.4174 0.2536
Ho2 Ho 0.2484 0.2484 0.7463
Ho3 Ho 0.4174 0.0834 0.2536
Ho4 Ho 0.5826 0.9166 0.7464
Ho5 Ho 0.7516 0.7516 0.2537
Ho6 Ho 0.9166 0.5826 0.7464
Er1 Er 0.1668 0.8332 0.5000
Er2 Er 0.8332 0.1668 0.5000
```

Calculated values
- DFT total energy (eV/atom) = -4.622
- E_form (eV per atom) = 0.020
- symmetry = C2/m

***

First-principles (PBE) data for Ag5O2F2 after structural relaxation, as listed in Alexandria.

The structure in CIF format:
```
data_Ag5O2F2
_chemical_formula_sum 'Ag10 O4 F4'
_symmetry_space_group_name_H-M 'P 1'
_symmetry_Int_Tables_number 1
_cell_length_a 8.6146
_cell_length_b 8.6146
_cell_length_c 8.6146
_cell_angle_alpha 60.71
_cell_angle_beta 139.52
_cell_angle_gamma 136.76
loop_
_symmetry_equiv_pos_as_xyz
'x,y,z'
loop_
_atom_site_label
_atom_site_type_symbol
_atom_site_fract_x
_atom_site_fract_y
_atom_site_fract_z
Ag1 Ag 0.2491 0.0822 0.3313
Ag2 Ag 0.2491 0.4178 0.6670
Ag3 Ag 0.2495 0.6276 0.8796
Ag4 Ag 0.2495 0.8699 0.1219
Ag5 Ag 0.5799 0.4997 0.5802
Ag6 Ag 0.7480 0.1276 0.8781
Ag7 Ag 0.7480 0.3699 0.1204
Ag8 Ag 0.7509 0.5822 0.3330
Ag9 Ag 0.7509 0.9178 0.6687
Ag10 Ag 0.9196 0.9997 0.4198
O1 O 0.7454 0.3623 0.6091
O2 O 0.7454 0.6364 0.8831
O3 O 0.7532 0.1364 0.3909
O4 O 0.7532 0.8623 0.1169
F1 F 0.1741 0.4981 0.1761
F2 F 0.2505 0.2505 0.0000
F3 F 0.2505 0.7505 0.5000
F4 F 0.3220 0.9981 0.8239
```

Calculated values
- DFT total energy (eV/atom) = -3.491
- symmetry = Ima2
- energy relative to the elements, uncorrected (kcal/mol of atoms) = -8.97

***

First-principles (PBE) data for LaNiBr2 after structural relaxation, as listed in Alexandria.

The structure in CIF format:
```
data_LaNiBr2
_chemical_formula_sum 'La2 Ni2 Br4'
_symmetry_space_group_name_H-M 'P 1'
_symmetry_Int_Tables_number 1
_cell_length_a 4.5766
_cell_length_b 5.8703
_cell_length_c 8.6484
_cell_angle_alpha 90.00
_cell_angle_beta 90.00
_cell_angle_gamma 90.00
loop_
_symmetry_equiv_pos_as_xyz
'x,y,z'
loop_
_atom_site_label
_atom_site_type_symbol
_atom_site_fract_x
_atom_site_fract_y
_atom_site_fract_z
La1 La 0.0000 0.0000 0.0000
La2 La 0.5000 0.5000 0.0000
Ni1 Ni 0.0000 0.5000 0.2031
Ni2 Ni 0.5000 0.0000 0.2031
Br1 Br 0.0000 0.0000 0.3367
Br2 Br 0.0000 0.5000 0.7662
Br3 Br 0.5000 0.0000 0.7662
Br4 Br 0.5000 0.5000 0.3367
```

Calculated values
- DFT total energy (eV/atom) = -4.261
- energy above the lowest structure with this stoichiometry (kJ/mol of formula units) = 65.1
- symmetry = Cmm2
- energy relative to the elements, uncorrected (kcal/mol of atoms) = -17.24

***

First-principles (PBE) data for Rb2TaRu after structural relaxation, as listed in Alexandria.

The structure in CIF format:
```
data_Rb2TaRu
_chemical_formula_sum 'Rb8 Ta4 Ru4'
_symmetry_space_group_name_H-M 'P 1'
_symmetry_Int_Tables_number 1
_cell_length_a 13.3371
_cell_length_b 13.3371
_cell_length_c 4.6267
_cell_angle_alpha 90.00
_cell_angle_beta 90.00
_cell_angle_gamma 90.00
loop_
_symmetry_equiv_pos_as_xyz
'x,y,z'
loop_
_atom_site_label
_atom_site_type_symbol
_atom_site_fract_x
_atom_site_fract_y
_atom_site_fract_z
Rb1 Rb 0.0790 0.2500 0.1250
Rb2 Rb 0.2500 0.5790 0.3750
Rb3 Rb 0.2500 0.9210 0.8750
Rb4 Rb 0.4210 0.2500 0.6250
Rb5 Rb 0.5790 0.7500 0.6250
Rb6 Rb 0.7500 0.0790 0.8750
Rb7 Rb 0.7500 0.4210 0.3750
Rb8 Rb 0.9210 0.7500 0.1250
Ta1 Ta 0.0000 0.0000 0.5000
Ta2 Ta 0.0000 0.5000 0.7500
Ta3 Ta 0.5000 0.0000 0.2500
Ta4 Ta 0.5000 0.5000 0.0000
Ru1 Ru 0.0000 0.0000 0.0000
Ru2 Ru 0.0000 0.5000 0.2500
Ru3 Ru 0.5000 0.0000 0.7500
Ru4 Ru 0.5000 0.5000 0.5000
```

Calculated values
- DFT total energy (eV/atom) = -4.433
- E_form (eV per atom) = 1.333
- energy above the lowest structure with this stoichiometry (kJ/mol of formula units) = 0.0
- symmetry = I-42d

***

First-principles (PBE) data for Dy4TmTh6 after structural relaxation, as listed in Alexandria.

The structure in CIF format:
```
data_Dy4TmTh6
_chemical_formula_sum 'Dy4 Tm1 Th6'
_symmetry_space_group_name_H-M 'P 1'
_symmetry_Int_Tables_number 1
_cell_length_a 9.9958
_cell_length_b 9.9958
_cell_length_c 9.9958
_cell_angle_alpha 142.54
_cell_angle_beta 142.54
_cell_angle_gamma 54.02
loop_
_symmetry_equiv_pos_as_xyz
'x,y,z'
loop_
_atom_site_label
_atom_site_type_symbol
_atom_site_fract_x
_atom_site_fract_y
_atom_site_fract_z
Dy1 Dy 0.1907 0.1907 0.6321
Dy2 Dy 0.4414 0.8093 0.0000
Dy3 Dy 0.5586 0.5586 0.3679
Dy4 Dy 0.8093 0.4414 0.0000
Tm1 Tm 0.0000 0.0000 0.0000
Th1 Th 0.0000 0.5000 0.5000
Th2 Th 0.0007 0.6243 0.0000
Th3 Th 0.3757 0.3757 0.3764
Th4 Th 0.5000 0.0000 0.5000
Th5 Th 0.6243 0.0007 0.0000
Th6 Th 0.9993 0.9993 0.6236
```

Calculated values
- DFT total energy (eV/atom) = -5.705
- E_form (eV per atom) = 0.422
- symmetry = I-42m

***

First-principles (PBE) data for TbCeTh2Bi4 after structural relaxation, as listed in Alexandria.

The structure in CIF format:
```
data_TbCeTh2Bi4
_chemical_formula_sum 'Tb1 Ce1 Th2 Bi4'
_symmetry_space_group_name_H-M 'P 1'
_symmetry_Int_Tables_number 1
_cell_length_a 7.9109
_cell_length_b 4.5760
_cell_length_c 7.9305
_cell_angle_alpha 90.00
_cell_angle_beta 109.51
_cell_angle_gamma 90.00
loop_
_symmetry_equiv_pos_as_xyz
'x,y,z'
loop_
_atom_site_label
_atom_site_type_symbol
_atom_site_fract_x
_atom_site_fract_y
_atom_site_fract_z
Tb1 Tb 0.0000 0.0000 0.0000
Ce1 Ce 0.0000 0.5000 0.5000
Th1 Th 0.5000 0.0000 0.5000
Th2 Th 0.5000 0.5000 0.0000
Bi1 Bi 0.2442 0.5000 0.2453
Bi2 Bi 0.2461 0.0000 0.7517
Bi3 Bi 0.7539 0.0000 0.2483
Bi4 Bi 0.7558 0.5000 0.7547
```

Calculated values
- DFT total energy (eV/atom) = -5.823
- E_form (eV per atom) = -0.707
- symmetry = P2/m

***

First-principles (PBE) data for CoW3 after structural relaxation, as listed in Alexandria.

The structure in CIF format:
```
data_CoW3
_chemical_formula_sum 'Co2 W6'
_symmetry_space_group_name_H-M 'P 1'
_symmetry_Int_Tables_number 1
_cell_length_a 4.4310
_cell_length_b 5.4294
_cell_length_c 4.9634
_cell_angle_alpha 90.00
_cell_angle_beta 90.00
_cell_angle_gamma 90.00
loop_
_symmetry_equiv_pos_as_xyz
'x,y,z'
loop_
_atom_site_label
_atom_site_type_symbol
_atom_site_fract_x
_atom_site_fract_y
_atom_site_fract_z
Co1 Co 0.2500 0.2500 0.1696
Co2 Co 0.7500 0.7500 0.8304
W1 W 0.2500 0.0108 0.6526
W2 W 0.2500 0.4892 0.6526
W3 W 0.2500 0.7500 0.1290
W4 W 0.7500 0.2500 0.8710
W5 W 0.7500 0.5108 0.3474
W6 W 0.7500 0.9892 0.3474
```

Calculated values
- DFT total energy (eV/atom) = -11.177
- E_form (eV per atom) = 0.314
- energy above the lowest structure with this stoichiometry (kJ/mol of formula units) = 88.9
- symmetry = Pmmn

***

Please write out number 7 again, unchanged.
First-principles (PBE) data for Rb2TaRu after structural relaxation, as listed in Alexandria.

The structure in CIF format:
```
data_Rb2TaRu
_chemical_formula_sum 'Rb8 Ta4 Ru4'
_symmetry_space_group_name_H-M 'P 1'
_symmetry_Int_Tables_number 1
_cell_length_a 13.3371
_cell_length_b 13.3371
_cell_length_c 4.6267
_cell_angle_alpha 90.00
_cell_angle_beta 90.00
_cell_angle_gamma 90.00
loop_
_symmetry_equiv_pos_as_xyz
'x,y,z'
loop_
_atom_site_label
_atom_site_type_symbol
_atom_site_fract_x
_atom_site_fract_y
_atom_site_fract_z
Rb1 Rb 0.0790 0.2500 0.1250
Rb2 Rb 0.2500 0.5790 0.3750
Rb3 Rb 0.2500 0.9210 0.8750
Rb4 Rb 0.4210 0.2500 0.6250
Rb5 Rb 0.5790 0.7500 0.6250
Rb6 Rb 0.7500 0.0790 0.8750
Rb7 Rb 0.7500 0.4210 0.3750
Rb8 Rb 0.9210 0.7500 0.1250
Ta1 Ta 0.0000 0.0000 0.5000
Ta2 Ta 0.0000 0.5000 0.7500
Ta3 Ta 0.5000 0.0000 0.2500
Ta4 Ta 0.5000 0.5000 0.0000
Ru1 Ru 0.0000 0.0000 0.0000
Ru2 Ru 0.0000 0.5000 0.2500
Ru3 Ru 0.5000 0.0000 0.7500
Ru4 Ru 0.5000 0.5000 0.5000
```

Calculated values
- DFT total energy (eV/atom) = -4.433
- E_form (eV per atom) = 1.333
- energy above the lowest structure with this stoichiometry (kJ/mol of formula units) = 0.0
- symmetry = I-42d

***

The lowest DFT total energy belongs to which entry? CoW3

***

Number 5 is which compound? Ag5O2F2

***

DFT total energy of number 6 (LaNiBr2)? -4.261 eV/atom